# GeTe2Cl (SCAN, PBEsol geometry)
data_GeTe2Cl
_chemical_formula_sum 'Ge3 Te6 Cl3'
_cell_length_a 3.2333
_cell_length_b 3.2333
_cell_length_c 31.1783
_cell_angle_alpha 90.00
_cell_angle_beta 90.00
_cell_angle_gamma 120.00
_symmetry_space_group_name_H-M 'R -3 m'
_symmetry_Int_Tables_number 166
_symmetry_space_group_name_Hall '-R 3 2"'
loop_
_atom_site_label
_atom_site_type_symbol
_atom_site_fract_x
_atom_site_fract_y
_atom_site_fract_z
Ge1 Ge 0.0000 0.0000 0.0000
Te1 Te 0.0000 0.0000 0.0882
Cl1 Cl 0.0000 0.0000 0.5000
# - Calculated total energy: -302.3 eV/cell
# - Total magnetization: 0.0000 μB per atom
# - ΔE_f (raw): 0.1996 eV/atom